Entry from Alexandria: KOsF3 after structural relaxation (PBE-GGA).

abc: 4.283 4.283 4.283
angles: 90.00 90.00 90.00
Positions (direct):
K  0.000  0.000  0.000
Os  0.500  0.500  0.500
F  0.000  0.500  0.500
F  0.500  0.000  0.500
F  0.500  0.500  0.000

Output
uncorrected formation energy = -1.246 eV/atom
SG = Pm-3m, No. 221
crystal system = cubic
total energy = -4.8343 eV per atom
DOS at the Fermi energy = 2.31 states/eV/f.u.


Entry from Alexandria: BaScHg after structural relaxation (PBE-GGA).

abc: 7.639 7.639 7.639
angles: 90.00 90.00 90.00
Positions (direct):
Ba  0.000  0.000  0.000
Ba  0.000  0.500  0.500
Ba  0.500  0.000  0.500
Ba  0.500  0.500  0.000
Sc  0.250  0.250  0.750
Sc  0.250  0.750  0.250
Sc  0.750  0.250  0.250
Sc  0.750  0.750  0.750
Hg  0.250  0.250  0.250
Hg  0.250  0.750  0.750
Hg  0.750  0.250  0.750
Hg  0.750  0.750  0.250

Output
SG = F-43m, No. 216
crystal system = cubic
total energy = -2.2672 eV per atom
DOS at the Fermi energy = 4.14 states/eV/f.u.
energy relative to the elements = 0.585 eV/atom


Entry from Alexandria: CdC2O after structural relaxation (PBE-GGA).

abc: 5.617 5.617 5.617
angles: 90.00 90.00 90.00
Positions (direct):
Cd  0.000  0.000  0.000
Cd  0.000  0.500  0.500
Cd  0.500  0.000  0.500
Cd  0.500  0.500  0.000
C  0.250  0.250  0.250
C  0.250  0.250  0.750
C  0.250  0.750  0.250
C  0.250  0.750  0.750
C  0.750  0.250  0.250
C  0.750  0.250  0.750
C  0.750  0.750  0.250
C  0.750  0.750  0.750
O  0.000  0.000  0.500
O  0.000  0.500  0.000
O  0.500  0.000  0.000
O  0.500  0.500  0.500

Output
uncorrected formation energy = 2.783 eV/atom
SG = Fm-3m, No. 225
crystal system = cubic
total energy = -3.2972 eV per atom
DOS at the Fermi energy = 3.75 states/eV/f.u.


Entry from Alexandria: YAlSbI2 after structural relaxation (PBE-GGA).

abc: 5.945 5.945 6.060
angles: 90.00 90.00 90.00
Positions (direct):
Y  0.000  0.000  0.000
Al  0.500  0.500  0.500
Sb  0.000  0.000  0.500
I  0.000  0.500  0.000
I  0.500  0.000  0.000

Output
uncorrected formation energy = -0.173 eV/atom
SG = P4/mmm, No. 123
crystal system = tetragonal
total energy = -3.6586 eV per atom
DOS at the Fermi energy = 3.90 states/eV/f.u.


Entry from Alexandria: YUP2Ir5 after structural relaxation (PBE-GGA).

abc: 4.014 4.014 11.062
angles: 90.00 90.00 90.00
Positions (direct):
Y  0.000  0.000  0.000
U  0.000  0.000  0.500
P  0.500  0.500  0.292
P  0.500  0.500  0.708
Ir  0.000  0.500  0.198
Ir  0.000  0.500  0.802
Ir  0.500  0.000  0.198
Ir  0.500  0.000  0.802
Ir  0.500  0.500  0.500

Output
SG = P4/mmm, No. 123
crystal system = tetragonal
total energy = -8.5716 eV per atom
DOS at the Fermi energy = 10.65 states/eV/f.u.
energy relative to the elements = -0.474 eV/atom


Look up the total energy of the second one. -2.2672 eV per atom


Which of these has the lowest DOS at the Fermi energy? KOsF3